# 1
Here is crystalline Tm5Cd2Hg2 at its relaxed geometry from Alexandria. Energies are from GGA-PBE.

The structure in CIF format:
```
data_Tm5Cd2Hg2
_cell_length_a 16.536
_cell_length_b 7.191
_cell_length_c 8.116
_cell_angle_alpha 90.00
_cell_angle_beta 90.00
_cell_angle_gamma 90.00
_symmetry_space_group_name_H-M 'C m c e'
_symmetry_Int_Tables_number 64
_symmetry_space_group_name_Hall '-C 2ac 2'
loop_
_atom_site_label
_atom_site_type_symbol
_atom_site_fract_x
_atom_site_fract_y
_atom_site_fract_z
Tm1 Tm 0.000 0.000 0.000
Tm2 Tm 0.137 0.176 0.318
Cd1 Cd 0.217 0.000 0.000
Hg1 Hg 0.000 0.116 0.645
```

Final energy = -3.015 eV/atom
Formation energy = -0.261 eV per atom

=====

# 2
Here is crystalline CePm4DyS8 at its relaxed geometry from Alexandria. Energies are from GGA-PBE.

The structure in CIF format:
```
data_CePm4DyS8
_cell_length_a 8.2846
_cell_length_b 8.2846
_cell_length_c 20.1495
_cell_angle_alpha 90.00
_cell_angle_beta 90.00
_cell_angle_gamma 120.00
_symmetry_space_group_name_H-M 'R 3 m'
_symmetry_Int_Tables_number 160
_symmetry_space_group_name_Hall 'R 3 -2"'
loop_
_atom_site_label
_atom_site_type_symbol
_atom_site_fract_x
_atom_site_fract_y
_atom_site_fract_z
Ce1 Ce 0.0000 0.0000 0.0000
Pm1 Pm 0.0000 0.0000 0.2479
Pm2 Pm 0.9999 0.4999 0.1239
Dy1 Dy 0.0000 0.0000 0.6243
S1 S 0.0000 0.0000 0.3807
S2 S 0.0000 0.0000 0.8653
S3 S 0.0298 0.5149 0.3748
S4 S 0.1796 0.3591 0.2073
```

Final energy = -6.376 eV/atom
E_form (uncorrected) = -26.70 eV/f.u.

=====

# 3
Here is crystalline AcSnTe4 at its relaxed geometry from Alexandria. Energies are from GGA-PBE.

The structure in CIF format:
```
data_AcSnTe4
_cell_length_a 6.868
_cell_length_b 10.861
_cell_length_c 6.870
_cell_angle_alpha 90.00
_cell_angle_beta 101.07
_cell_angle_gamma 90.00
_symmetry_space_group_name_H-M 'P 1 21/m 1'
_symmetry_Int_Tables_number 11
loop_
_symmetry_equiv_pos_as_xyz
'x,y,z'
'-x,-y,-z'
'-x,y+1/2,-z'
'x,-y+1/2,z'
loop_
_atom_site_label
_atom_site_type_symbol
_atom_site_fract_x
_atom_site_fract_y
_atom_site_fract_z
Ac1 Ac 0.134 0.250 0.132
Sn1 Sn 0.400 0.750 0.402
Te1 Te 0.174 0.562 0.176
Te2 Te 0.203 0.250 0.634
Te3 Te 0.363 0.750 0.798
```

Final energy = -4.041 eV/atom
E_form (uncorrected) = -3.57 eV/f.u.

=====

# 4
Here is crystalline NdBe2Pd2 at its relaxed geometry from Alexandria. Energies are from GGA-PBE.

The structure in CIF format:
```
data_NdBe2Pd2
_cell_length_a 4.081
_cell_length_b 4.081
_cell_length_c 9.702
_cell_angle_alpha 90.00
_cell_angle_beta 90.00
_cell_angle_gamma 90.00
_symmetry_space_group_name_H-M 'P 4/n m m'
_symmetry_Int_Tables_number 129
loop_
_symmetry_equiv_pos_as_xyz
'x,y,z'
'-x,-y,-z'
'-y+1/2,x,z'
'y+1/2,-x,-z'
'-x+1/2,-y+1/2,z'
'x+1/2,y+1/2,-z'
'y,-x+1/2,z'
'-y,x+1/2,-z'
'x+1/2,-y,-z'
'-x+1/2,y,z'
'-y,-x,-z'
'y,x,z'
'-x,y+1/2,-z'
'x,-y+1/2,z'
'y+1/2,x+1/2,-z'
'-y+1/2,-x+1/2,z'
loop_
_atom_site_label
_atom_site_type_symbol
_atom_site_fract_x
_atom_site_fract_y
_atom_site_fract_z
Nd1 Nd 0.250 0.250 0.247
Be1 Be 0.250 0.250 0.624
Be2 Be 0.250 0.750 0.000
Pd1 Pd 0.250 0.250 0.880
Pd2 Pd 0.250 0.750 0.500
```

Final energy = -5.066 eV/atom
Formation energy = -0.545 eV per atom

=====

# 5
Here is crystalline DyEr2Ni at its relaxed geometry from Alexandria. Energies are from GGA-PBE.

The structure in CIF format:
```
data_DyEr2Ni
_cell_length_a 3.408
_cell_length_b 3.408
_cell_length_c 8.602
_cell_angle_alpha 90.00
_cell_angle_beta 90.00
_cell_angle_gamma 90.00
_symmetry_space_group_name_H-M 'P 4/m m m'
_symmetry_Int_Tables_number 123
_symmetry_space_group_name_Hall '-P 4 2'
loop_
_atom_site_label
_atom_site_type_symbol
_atom_site_fract_x
_atom_site_fract_y
_atom_site_fract_z
Dy1 Dy 0.000 0.000 0.000
Er1 Er 0.500 0.500 0.313
Ni1 Ni 0.000 0.000 0.500
```

Final energy = -5.063 eV/atom
Formation energy = -0.186 eV per atom

=====

# 6
Here is crystalline Ba2InBiSe5 at its relaxed geometry from Alexandria. Energies are from GGA-PBE.

The structure in CIF format:
```
data_Ba2InBiSe5
_cell_length_a 4.372
_cell_length_b 19.499
_cell_length_c 13.405
_cell_angle_alpha 90.00
_cell_angle_beta 90.00
_cell_angle_gamma 90.00
_symmetry_space_group_name_H-M 'C m c 21'
_symmetry_Int_Tables_number 36
loop_
_symmetry_equiv_pos_as_xyz
'x,y,z'
'-x,-y,z+1/2'
'-x,y,z'
'x,-y,z+1/2'
'x+1/2,y+1/2,z'
'-x+1/2,-y+1/2,z+1/2'
'-x+1/2,y+1/2,z'
'x+1/2,-y+1/2,z+1/2'
loop_
_atom_site_label
_atom_site_type_symbol
_atom_site_fract_x
_atom_site_fract_y
_atom_site_fract_z
Ba1 Ba 0.000 0.113 0.000
Ba2 Ba 0.000 0.128 0.628
In1 In 0.000 0.440 0.759
Bi1 Bi 0.000 0.216 0.339
Se1 Se 0.000 0.047 0.372
Se2 Se 0.000 0.283 0.985
Se3 Se 0.000 0.312 0.684
Se4 Se 0.000 0.357 0.317
Se5 Se 0.000 0.497 0.090
```

Final energy = -4.320 eV/atom
E_form (uncorrected) = -10.99 eV/f.u.